a.
A relaxed structure of Ca2ZnGeH, computed with PBE-GGA.

Calculated values
Spin magnetization: 0.00 μB per cell
Density of states at the Fermi level: 1.7 states/eV/cell
Crystal system: tetragonal

Unit cell a=4.8072 b=4.8072 c=4.0939 alpha=90.00 beta=90.00 gamma=90.00
Closest atoms and distances in Å follow each position.
Atoms (fractional coordinates):
Ge 0.5000 0.5000 0.5000  8 Ca 3.16, 4 Zn 3.40
H 0.0000 0.0000 0.0000  2 Zn 2.05
Zn 0.0000 0.0000 0.5000  2 H 2.05
Ca 0.5000 0.0000 0.0000  2 H 2.40
Ca 0.0000 0.5000 0.0000  2 H 2.40

b.
A relaxed structure of Ca2ZnGeH, computed with PBE-GGA.

Calculated values
Spin magnetization: 0.00 μB per cell
Density of states at the Fermi level: 3.7 states/eV/cell
Crystal system: monoclinic

Unit cell a=4.2423 b=5.8954 c=8.9615 alpha=112.21 beta=90.00 gamma=90.00
Closest atoms and distances in Å follow each position.
Atoms (fractional coordinates):
H 0.7500 0.1511 0.0286  1 Zn 1.75
H 0.2500 0.8489 0.9714  1 Zn 1.75
Ca 0.2500 0.2128 0.9321  3 H 2.30-2.37
Ca 0.2500 0.2206 0.4453  3 Zn 3.02-3.24, 4 Ge 3.12-3.29
Ca 0.7500 0.7872 0.0679  3 H 2.30-2.37
Ca 0.7500 0.7794 0.5547  3 Zn 3.02-3.24, 4 Ge 3.12-3.29
Zn 0.2500 0.6270 0.7746  1 H 1.75
Zn 0.7500 0.3730 0.2254  1 H 1.75
Ge 0.2500 0.6315 0.2782  2 Zn 2.55
Ge 0.7500 0.3685 0.7218  2 Zn 2.55

Which one sits at the bottom of the stability order? a does.

a.
A relaxed structure of CaHf2Ge2, computed with PBE-GGA.

Calculated values
Spin magnetization: 0.00 μB per cell
Density of states at the Fermi level: 2.7 states/eV/cell
Crystal system: tetragonal

Unit cell a=5.0950 b=5.0950 c=6.0334 alpha=65.02 beta=65.02 gamma=90.00
Closest atoms and distances in Å follow each position.
Atoms (fractional coordinates):
Ge 0.2500 0.7500 0.5000  4 Hf 2.66
Ge 0.7500 0.2500 0.5000  4 Hf 2.66
Hf 0.3302 0.3302 0.3396  4 Ge 2.66
Hf 0.6698 0.6698 0.6604  4 Ge 2.66
Ca 0.0000 0.0000 0.0000  2 Hf 3.20, 8 Ge 3.51

b.
A relaxed structure of CaHf2Ge2, computed with PBE-GGA.

Calculated values
Spin magnetization: 0.00 μB per cell
Density of states at the Fermi level: 3.7 states/eV/cell
Crystal system: tetragonal

Unit cell a=4.4003 b=4.4003 c=6.7350 alpha=70.93 beta=70.93 gamma=90.00
Closest atoms and distances in Å follow each position.
Atoms (fractional coordinates):
Hf 0.2500 0.7500 0.5000  4 Ge 2.75
Hf 0.7500 0.2500 0.5000  4 Ge 2.75
Ge 0.3876 0.3876 0.2247  1 Ge 2.68, 4 Hf 2.75
Ge 0.6124 0.6124 0.7753  1 Ge 2.68, 4 Hf 2.75
Ca 0.0000 0.0000 0.0000  8 Ge 3.39, 8 Hf 3.71

Which one sits at the bottom of the stability order? a does.

a.
A relaxed structure of CaHf2Ge2, computed with PBE-GGA.

Calculated values
Spin magnetization: 0.00 μB per cell
Density of states at the Fermi level: 8.6 states/eV/cell
Crystal system: tetragonal

Unit cell a=8.2580 b=8.2580 c=3.0812 alpha=90.00 beta=90.00 gamma=90.00
Closest atoms and distances in Å follow each position.
Atoms (fractional coordinates):
Ge 0.3306 0.1694 0.5000  6 Hf 2.86-2.90, 2 Ge 3.08
Ge 0.1694 0.6694 0.5000  6 Hf 2.86-2.90, 2 Ge 3.08
Ge 0.8306 0.3306 0.5000  6 Hf 2.86-2.90, 2 Ge 3.08
Ge 0.6694 0.8306 0.5000  6 Hf 2.86-2.90, 2 Ge 3.08
Hf 0.1248 0.3752 0.0000  6 Ge 2.86-2.90, 3 Hf 2.91-3.08
Hf 0.6248 0.1248 0.0000  6 Ge 2.86-2.90, 3 Hf 2.91-3.08
Hf 0.8752 0.6248 0.0000  6 Ge 2.86-2.90, 3 Hf 2.91-3.08
Hf 0.3752 0.8752 0.0000  6 Ge 2.86-2.90, 3 Hf 2.91-3.08
Ca 0.0000 0.0000 0.0000  2 Ca 3.08, 4 Hf 3.27, 8 Ge 3.43
Ca 0.5000 0.5000 0.0000  2 Ca 3.08, 4 Hf 3.27, 8 Ge 3.43

b.
A relaxed structure of CaHf2Ge2, computed with PBE-GGA.

Calculated values
Spin magnetization: 0.00 μB per cell
Density of states at the Fermi level: 5.1 states/eV/cell
Crystal system: tetragonal

Unit cell a=7.5281 b=7.5281 c=3.6663 alpha=90.00 beta=90.00 gamma=90.00
Closest atoms and distances in Å follow each position.
Atoms (fractional coordinates):
Hf 0.1601 0.6601 0.5000  6 Ge 2.85-2.89
Hf 0.3399 0.1601 0.5000  6 Ge 2.85-2.89
Hf 0.6601 0.8399 0.5000  6 Ge 2.85-2.89
Hf 0.8399 0.3399 0.5000  6 Ge 2.85-2.89
Ge 0.1352 0.3648 0.0000  6 Hf 2.85-2.89, 1 Ge 2.88, 2 Ca 2.93
Ge 0.3648 0.8648 0.0000  6 Hf 2.85-2.89, 1 Ge 2.88, 2 Ca 2.93
Ge 0.6352 0.1352 0.0000  6 Hf 2.85-2.89, 1 Ge 2.88, 2 Ca 2.93
Ge 0.8648 0.6352 0.0000  6 Hf 2.85-2.89, 1 Ge 2.88, 2 Ca 2.93
Ca 0.0000 0.0000 0.0000  4 Ge 2.93
Ca 0.5000 0.5000 0.0000  4 Ge 2.93

Which one sits at the bottom of the stability order? a does.

a.
A relaxed structure of Ca3HfGe, computed with PBE-GGA.

Calculated values
Spin magnetization: 3.32 μB per cell
Density of states at the Fermi level: 6.0 states/eV/cell
Crystal system: cubic

Unit cell a=5.6267 b=5.6267 c=5.6267 alpha=90.00 beta=90.00 gamma=90.00
Closest atoms and distances in Å follow each position.
Atoms (fractional coordinates):
Ge 0.0000 0.0000 0.0000  6 Ca 2.81
Hf 0.5000 0.5000 0.5000  12 Ca 3.98
Ca 0.0000 0.0000 0.5000  2 Ge 2.81
Ca 0.0000 0.5000 0.0000  2 Ge 2.81
Ca 0.5000 0.0000 0.0000  2 Ge 2.81

b.
A relaxed structure of Ca3HfGe, computed with PBE-GGA.

Calculated values
Spin magnetization: 2.24 μB per cell
Density of states at the Fermi level: 6.5 states/eV/cell
Crystal system: cubic

Unit cell a=5.7543 b=5.7543 c=5.7543 alpha=90.00 beta=90.00 gamma=90.00
Closest atoms and distances in Å follow each position.
Atoms (fractional coordinates):
Ge 0.5000 0.5000 0.5000  12 Ca 4.07
Ca 0.5000 0.0000 0.0000  2 Hf 2.88
Ca 0.0000 0.5000 0.0000  2 Hf 2.88
Ca 0.0000 0.0000 0.5000  2 Hf 2.88
Hf 0.0000 0.0000 0.0000  6 Ca 2.88

Which one sits at the bottom of the stability order? b does.

a.
A relaxed structure of CaHfGe2, computed with PBE-GGA.

Calculated values
Spin magnetization: 0.00 μB per cell
Density of states at the Fermi level: 4.8 states/eV/cell
Crystal system: cubic

Unit cell a=4.9161 b=4.9161 c=4.9161 alpha=60.00 beta=60.00 gamma=60.00
Closest atoms and distances in Å follow each position.
Atoms (fractional coordinates):
Hf 0.5000 0.5000 0.5000  8 Ge 3.01
Ge 0.2500 0.2500 0.2500  4 Hf 3.01, 4 Ca 3.01
Ge 0.7500 0.7500 0.7500  4 Hf 3.01, 4 Ca 3.01
Ca 0.0000 0.0000 0.0000  8 Ge 3.01

b.
A relaxed structure of CaHfGe2, computed with PBE-GGA.

Calculated values
Spin magnetization: 0.00 μB per cell
Density of states at the Fermi level: 4.5 states/eV/cell
Crystal system: tetragonal

Unit cell a=5.0582 b=5.0582 c=9.6004 alpha=74.73 beta=74.73 gamma=90.00
Closest atoms and distances in Å follow each position.
Atoms (fractional coordinates):
Ge 0.8750 0.0095 0.7500  2 Hf 2.63, 2 Ge 2.79
Ge 0.3750 0.2405 0.7500  2 Hf 2.63, 2 Ge 2.79
Ge 0.7595 0.1250 0.2500  2 Hf 2.63, 2 Ge 2.79
Ge 0.9905 0.6250 0.2500  2 Hf 2.63, 2 Ge 2.79
Ca 0.2500 0.7500 0.5000  4 Ge 3.22, 4 Hf 3.58
Ca 0.5000 0.5000 0.0000  4 Ge 3.22, 4 Hf 3.58
Hf 0.7500 0.2500 0.5000  4 Ge 2.63
Hf 0.0000 0.0000 0.0000  4 Ge 2.63

c.
A relaxed structure of CaHfGe2, computed with PBE-GGA.

Calculated values
Spin magnetization: 0.00 μB per cell
Density of states at the Fermi level: 1.8 states/eV/cell
Crystal system: trigonal

Unit cell a=3.9808 b=3.9808 c=7.2656 alpha=74.10 beta=74.10 gamma=60.00
Closest atoms and distances in Å follow each position.
Atoms (fractional coordinates):
Ge 0.7380 0.7380 0.7859  3 Hf 2.73, 3 Ca 3.03
Ge 0.2620 0.2620 0.2141  3 Hf 2.73, 3 Ca 3.03
Hf 0.0000 0.0000 0.0000  6 Ge 2.73
Ca 0.5000 0.5000 0.5000  6 Ge 3.03

Which one sits at the bottom of the stability order? b does.

a.
A relaxed structure of CaGe3I, computed with PBE-GGA.

Calculated values
Spin magnetization: 0.77 μB per cell
Density of states at the Fermi level: 6.5 states/eV/cell
Crystal system: cubic

Unit cell a=5.6326 b=5.6326 c=5.6326 alpha=90.00 beta=90.00 gamma=90.00
Closest atoms and distances in Å follow each position.
Atoms (fractional coordinates):
Ge 0.0000 0.0000 0.5000  2 Ca 2.82
Ge 0.0000 0.5000 0.0000  2 Ca 2.82
Ge 0.5000 0.0000 0.0000  2 Ca 2.82
I 0.5000 0.5000 0.5000  12 Ge 3.98
Ca 0.0000 0.0000 0.0000  6 Ge 2.82

b.
A relaxed structure of CaGe3I, computed with PBE-GGA.

Calculated values
Spin magnetization: 0.00 μB per cell
Density of states at the Fermi level: 5.2 states/eV/cell
Crystal system: cubic

Unit cell a=5.4764 b=5.4764 c=5.4764 alpha=90.00 beta=90.00 gamma=90.00
Closest atoms and distances in Å follow each position.
Atoms (fractional coordinates):
Ca 0.5000 0.5000 0.5000  12 Ge 3.87
I 0.0000 0.0000 0.0000  6 Ge 2.74
Ge 0.0000 0.0000 0.5000  2 I 2.74
Ge 0.0000 0.5000 0.0000  2 I 2.74
Ge 0.5000 0.0000 0.0000  2 I 2.74

Which one sits at the bottom of the stability order? a does.

a.
A relaxed structure of CaGe2I6, computed with PBE-GGA.

Calculated values
Spin magnetization: 0.00 μB per cell
Crystal system: trigonal

Unit cell a=7.9178 b=7.9178 c=8.9160 alpha=63.64 beta=63.64 gamma=60.00
Closest atoms and distances in Å follow each position.
Atoms (fractional coordinates):
I 0.6085 0.9504 0.2071  1 Ge 2.87, 1 Ca 3.09
I 0.4749 0.0700 0.7398  1 Ge 2.70
I 0.7153 0.4749 0.7398  1 Ge 2.70
I 0.9504 0.2340 0.2071  1 Ge 2.87, 1 Ca 3.09
I 0.2340 0.6085 0.2071  1 Ge 2.87, 1 Ca 3.09
I 0.0700 0.7153 0.7398  1 Ge 2.70
Ge 0.6974 0.6974 0.9079  3 I 2.70, 1 Ge 2.72
Ge 0.5787 0.5787 0.2638  1 Ge 2.72, 3 I 2.87
Ca 0.3365 0.3365 0.9906  6 I 3.09-3.22

b.
A relaxed structure of CaGe2I6, computed with PBE-GGA.

Calculated values
Spin magnetization: 0.00 μB per cell
Density of states at the Fermi level: 0.0 states/eV/cell
Crystal system: monoclinic

Unit cell a=4.3661 b=9.2126 c=10.2342 alpha=106.84 beta=102.32 gamma=90.00
Closest atoms and distances in Å follow each position.
Atoms (fractional coordinates):
Ge 0.8312 0.6624 0.6624  6 I 3.01-3.06
Ge 0.1688 0.3376 0.3376  6 I 3.01-3.06
Ca 0.5000 0.0000 0.0000  6 I 3.13-3.16
I 0.0085 0.2487 0.0171  1 Ge 3.06, 2 Ca 3.13
I 0.6735 0.5705 0.3469  3 Ge 3.01-3.04
I 0.6653 0.1041 0.3305  2 Ge 3.05, 1 Ca 3.16
I 0.9915 0.7513 0.9829  1 Ge 3.06, 2 Ca 3.13
I 0.3265 0.4295 0.6531  3 Ge 3.01-3.04
I 0.3347 0.8959 0.6695  2 Ge 3.05, 1 Ca 3.16

Which one sits at the bottom of the stability order? a does.

a.
A relaxed structure of Ca2GeI, computed with PBE-GGA.

Calculated values
Spin magnetization: 2.00 μB per cell
Density of states at the Fermi level: 2.1 states/eV/cell
Crystal system: tetragonal

Unit cell a=8.0510 b=8.0510 c=7.1692 alpha=55.84 beta=55.84 gamma=90.00
Closest atoms and distances in Å follow each position.
Atoms (fractional coordinates):
Ca 0.5948 0.1250 0.2500  2 Ge 2.89, 2 I 3.21
Ca 0.3750 0.4052 0.7500  2 Ge 2.89, 2 I 3.21
Ca 0.1552 0.6250 0.2500  2 Ge 2.89, 2 I 3.21
Ca 0.8750 0.8448 0.7500  2 Ge 2.89, 2 I 3.21
Ge 0.5000 0.5000 0.0000  4 Ca 2.89
Ge 0.2500 0.7500 0.5000  4 Ca 2.89
I 0.7500 0.2500 0.5000  4 Ca 3.21
I 0.0000 0.0000 0.0000  4 Ca 3.21

b.
A relaxed structure of Ca2GeI, computed with PBE-GGA.

Calculated values
Spin magnetization: 0.00 μB per cell
Density of states at the Fermi level: 2.0 states/eV/cell
Crystal system: trigonal

Unit cell a=4.2427 b=4.2427 c=8.5746 alpha=75.68 beta=75.68 gamma=60.00
Closest atoms and distances in Å follow each position.
Atoms (fractional coordinates):
I 0.4975 0.4975 0.5076  6 Ca 3.38-3.49
Ca 0.2650 0.2650 0.2051  3 Ge 2.99
Ca 0.0699 0.0699 0.7903  3 Ge 2.98
Ge 0.6677 0.6677 0.9970  6 Ca 2.98-2.99

c.
A relaxed structure of Ca2GeI, computed with PBE-GGA.

Calculated values
Spin magnetization: 0.00 μB per cell
Density of states at the Fermi level: 6.4 states/eV/cell
Crystal system: cubic

Unit cell a=5.4443 b=5.4443 c=5.4443 alpha=60.00 beta=60.00 gamma=60.00
Closest atoms and distances in Å follow each position.
Atoms (fractional coordinates):
I 0.5000 0.5000 0.5000  8 Ca 3.33
Ca 0.7500 0.7500 0.7500  4 Ge 3.33, 4 I 3.33
Ca 0.2500 0.2500 0.2500  4 I 3.33, 4 Ge 3.33
Ge 0.0000 0.0000 0.0000  8 Ca 3.33

d.
A relaxed structure of Ca2GeI, computed with PBE-GGA.

Calculated values
Spin magnetization: 0.00 μB per cell
Density of states at the Fermi level: 2.0 states/eV/cell
Crystal system: trigonal

Unit cell a=4.2791 b=4.2791 c=8.3818 alpha=75.21 beta=75.21 gamma=60.00
Closest atoms and distances in Å follow each position.
Atoms (fractional coordinates):
Ge 0.0000 0.0000 0.0000  6 Ca 2.99
Ca 0.7364 0.7364 0.7907  3 Ge 2.99
Ca 0.2636 0.2636 0.2093  3 Ge 2.99
I 0.5000 0.5000 0.5000  6 Ca 3.40

Which one sits at the bottom of the stability order? a does.